1.
Density functional theory data (PBE) for an optimized crystal structure of CeDySbO6.

Cell: 5.5737 5.5737 9.5820 Å, 90.00 90.00 120.00°
Closest atoms and distances in Å follow each position.
Element x y z (fractional)
Ce 0.0000 0.0000 0.0000  6 O 2.30
Ce 0.0000 0.0000 0.5000  6 O 2.30
Dy 0.3333 0.6667 0.2500  6 O 2.28
Dy 0.6667 0.3333 0.7500  6 O 2.28
Sb 0.6667 0.3333 0.2500  6 O 2.02
Sb 0.3333 0.6667 0.7500  6 O 2.02
O 0.6748 0.6396 0.1330  1 Sb 2.02
O 0.9648 0.3252 0.1330  1 Sb 2.02
O 0.3252 0.9648 0.6330  1 Sb 2.02
O 0.0352 0.6748 0.8670  1 Sb 2.02
O 0.3604 0.3252 0.3670  1 Sb 2.02
O 0.9648 0.6396 0.3670  1 Sb 2.02
O 0.6396 0.9648 0.8670  1 Sb 2.02
O 0.6748 0.0352 0.3670  1 Sb 2.02
O 0.0352 0.3604 0.6330  1 Sb 2.02
O 0.3604 0.0352 0.1330  1 Sb 2.02
O 0.6396 0.6748 0.6330  1 Sb 2.02
O 0.3252 0.3604 0.8670  1 Sb 2.02

The magnetization is 0.00 μB/cell. Its electronic total energy is -7.561 eV per atom. Its crystal system is trigonal.

2.
Density functional theory data (PBE) for an optimized crystal structure of TaCuSe2N.

Cell: 4.8943 4.8943 3.5076 Å, 90.00 90.00 90.00°
Closest atoms and distances in Å follow each position.
Element x y z (fractional)
N 0.0000 0.0000 0.5000  2 Cu 1.75
Cu 0.0000 0.0000 0.0000  2 N 1.75
Se 0.0000 0.5000 0.0000  2 Cu 2.45
Se 0.5000 0.0000 0.0000  2 Cu 2.45
Ta 0.5000 0.5000 0.5000  8 Se 3.01

The magnetization is 0.43 μB/cell. As for the distance to the lowest polymorph of the same formula: 16.35 kcal/mol of atoms. Its crystal system is tetragonal.

3.
Density functional theory data (PBE) for an optimized crystal structure of Er7MgTl4.

Cell: 5.7495 8.9576 7.9520 Å, 67.76 68.81 71.28°
Closest atoms and distances in Å follow each position.
Element x y z (fractional)
Er 0.7974 0.8798 0.5255  3 Tl 3.28-3.51, 6 Er 3.48-3.54
Er 0.2026 0.1202 0.4745  3 Tl 3.28-3.51, 6 Er 3.48-3.54
Er 0.0687 0.5960 0.2667  3 Tl 3.16-3.24, 3 Er 3.36-3.50, 1 Mg 3.41
Er 0.9313 0.4040 0.7333  3 Tl 3.16-3.24, 3 Er 3.36-3.50, 1 Mg 3.41
Er 0.2456 0.7163 0.7925  4 Tl 2.99-3.14, 1 Mg 3.22
Er 0.5000 0.0000 0.0000  2 Mg 2.87, 2 Tl 2.98
Er 0.7544 0.2837 0.2075  4 Tl 2.99-3.14, 1 Mg 3.22
Mg 0.0000 0.0000 0.0000  4 Er 2.87-3.22
Tl 0.5488 0.2956 0.6069  4 Er 2.99-3.24, 1 Tl 3.27
Tl 0.4512 0.7044 0.3931  4 Er 2.99-3.24, 1 Tl 3.27
Tl 0.6856 0.6575 0.9714  6 Er 2.98-3.28, 1 Tl 3.27
Tl 0.3144 0.3425 0.0286  6 Er 2.98-3.28, 1 Tl 3.27

Its formation energy is -0.029 eV/atom. The magnetization is 0.00 μB/cell. Its crystal system is monoclinic.

4.
Density functional theory data (PBE) for an optimized crystal structure of CeDyAs2.

Cell: 4.1367 4.1367 7.4690 Å, 73.92 73.92 60.00°
Closest atoms and distances in Å follow each position.
Element x y z (fractional)
Ce 0.6696 0.6696 0.9913  6 As 2.94-3.01
Dy 0.4969 0.4969 0.5094  6 As 2.93-3.01
As 0.0838 0.0838 0.7487  3 Dy 2.93, 3 Ce 2.94
As 0.2498 0.2498 0.2506  3 Dy 3.01, 3 Ce 3.01

Its formation energy is -1.318 eV/atom. The magnetization is 0.81 μB/cell. As for the distance to the lowest polymorph of the same formula: 3.78 kcal/mol of atoms. Its crystal system is trigonal.

5.
Density functional theory data (PBE) for an optimized crystal structure of Ac2TbTe3.

Cell: 4.5813 6.5536 8.0218 Å, 114.11 106.59 90.00°
Closest atoms and distances in Å follow each position.
Element x y z (fractional)
Ac 0.8267 0.8267 0.1534  6 Te 3.29-3.34
Ac 0.1733 0.1733 0.8466  6 Te 3.29-3.34
Tb 0.5000 0.5000 0.5000  6 Te 3.12-3.28
Te 0.8482 0.3482 0.1963  2 Tb 3.12, 4 Ac 3.29-3.34
Te 0.1518 0.6518 0.8037  2 Tb 3.12, 4 Ac 3.29-3.34
Te 0.5000 0.0000 0.5000  2 Tb 3.28, 4 Ac 3.33

The magnetization is 0.00 μB/cell. As for the distance to the lowest polymorph of the same formula: 0.37 kcal/mol of atoms. Its crystal system is orthorhombic.

6.
Density functional theory data (PBE) for an optimized crystal structure of Tl2InCo.

Cell: 9.3212 9.3212 9.3212 Å, 21.16 21.16 21.16°
Closest atoms and distances in Å follow each position.
Element x y z (fractional)
Co 0.2500 0.2500 0.2500  6 Tl 2.73
In 0.7500 0.7500 0.7500  6 Tl 3.33, 6 In 3.42
Tl 0.9854 0.9854 0.9854  3 Co 2.73
Tl 0.5146 0.5146 0.5146  3 Co 2.73

Its formation energy is 0.399 eV/atom. The magnetization is 1.15 μB/cell. As for the distance to the lowest polymorph of the same formula: 3.97 kcal/mol of atoms. Its crystal system is trigonal.

7.
Density functional theory data (PBE) for an optimized crystal structure of Ac12CdRu6.

Cell: 9.3309 9.3309 9.3309 Å, 109.47 109.47 109.47°
Closest atoms and distances in Å follow each position.
Element x y z (fractional)
Ac 0.3093 0.1181 0.8088  3 Ru 2.89-3.18
Ac 0.3093 0.5006 0.1912  3 Ru 2.89-3.18
Ac 0.6907 0.4994 0.8088  3 Ru 2.89-3.18
Ac 0.6907 0.8819 0.1912  3 Ru 2.89-3.18
Ac 0.1181 0.8088 0.3093  3 Ru 2.89-3.18
Ac 0.5006 0.1912 0.3093  3 Ru 2.89-3.18
Ac 0.4994 0.8088 0.6907  3 Ru 2.89-3.18
Ac 0.8819 0.1912 0.6907  3 Ru 2.89-3.18
Ac 0.8088 0.3093 0.1181  3 Ru 2.89-3.18
Ac 0.1912 0.3093 0.5006  3 Ru 2.89-3.18
Ac 0.8088 0.6907 0.4994  3 Ru 2.89-3.18
Ac 0.1912 0.6907 0.8819  3 Ru 2.89-3.18
Cd 0.0000 0.0000 0.0000  12 Ac 3.92
Ru 0.3801 0.5000 0.8801  1 Ru 2.58, 2 Ac 2.89
Ru 0.6199 0.5000 0.1199  1 Ru 2.58, 2 Ac 2.89
Ru 0.5000 0.8801 0.3801  1 Ru 2.58, 2 Ac 2.89
Ru 0.5000 0.1199 0.6199  1 Ru 2.58, 2 Ac 2.89
Ru 0.8801 0.3801 0.5000  1 Ru 2.58, 2 Ac 2.89
Ru 0.1199 0.6199 0.5000  1 Ru 2.58, 2 Ac 2.89

Its formation energy is -0.143 eV/atom. The magnetization is 0.00 μB/cell. Its crystal system is cubic.

8.
Density functional theory data (PBE) for an optimized crystal structure of KGdHg2.

Cell: 3.9872 3.9872 9.9531 Å, 78.45 78.45 60.00°
Closest atoms and distances in Å follow each position.
Element x y z (fractional)
K 0.5000 0.5000 0.5000  6 Hg 3.56, 6 K 3.99
Gd 0.0000 0.0000 0.0000  6 Hg 3.13
Hg 0.7398 0.7398 0.7805  3 Gd 3.13
Hg 0.2602 0.2602 0.2195  3 Gd 3.13

Its formation energy is -0.184 eV/atom. The magnetization is 7.64 μB/cell. As for the distance to the lowest polymorph of the same formula: 2.75 kcal/mol of atoms. Its crystal system is trigonal.

9.
Density functional theory data (PBE) for an optimized crystal structure of TbMg5Sc.

Cell: 5.6882 5.6882 6.6227 Å, 100.61 100.61 115.37°
Closest atoms and distances in Å follow each position.
Element x y z (fractional)
Tb 0.0000 0.0000 0.0000  10 Mg 3.19-3.47
Mg 0.4810 0.9067 0.2341  4 Mg 2.92-3.18, 1 Sc 3.18, 1 Tb 3.19
Mg 0.9067 0.4810 0.2341  4 Mg 2.92-3.18, 1 Sc 3.18, 1 Tb 3.19
Mg 0.0000 0.0000 0.5000  4 Mg 2.92, 2 Sc 3.04
Mg 0.0933 0.5190 0.7659  4 Mg 2.92-3.18, 1 Sc 3.18, 1 Tb 3.19
Mg 0.5190 0.0933 0.7659  4 Mg 2.92-3.18, 1 Sc 3.18, 1 Tb 3.19
Sc 0.5000 0.5000 0.5000  6 Mg 3.04-3.18

Its formation energy is 0.119 eV/atom. The magnetization is 0.00 μB/cell. Its crystal system is monoclinic.

10.
Density functional theory data (PBE) for an optimized crystal structure of Ho8TmTh2.

Cell: 6.5976 6.5636 8.9229 Å, 111.58 99.26 90.00°
Closest atoms and distances in Å follow each position.
Element x y z (fractional)
Tm 0.0000 0.0000 0.0000  4 Ho 3.27
Ho 0.5984 0.1739 0.8277  4 Ho 3.15-3.47, 2 Th 3.26-3.39, 1 Tm 3.27
Ho 0.4016 0.3462 0.1723  4 Ho 3.15-3.47, 2 Th 3.26-3.39, 1 Tm 3.27
Ho 0.8158 0.1980 0.3959  4 Th 3.38-3.59, 3 Ho 3.47-3.67, 1 Tm 3.69
Ho 0.1842 0.8020 0.6041  4 Th 3.38-3.59, 3 Ho 3.47-3.67, 1 Tm 3.69
Ho 0.5984 0.6538 0.8277  4 Ho 3.15-3.47, 2 Th 3.26-3.39, 1 Tm 3.27
Ho 0.4016 0.8261 0.1723  4 Ho 3.15-3.47, 2 Th 3.26-3.39, 1 Tm 3.27
Ho 0.0961 0.4095 0.8190  1 Th 3.35, 8 Ho 3.46-3.67, 2 Tm 3.71
Ho 0.9039 0.5905 0.1810  1 Th 3.35, 8 Ho 3.46-3.67, 2 Tm 3.71
Th 0.3351 0.2473 0.4945  9 Ho 3.26-3.59
Th 0.6649 0.7527 0.5055  9 Ho 3.26-3.59

Its formation energy is 0.187 eV/atom. The magnetization is 0.00 μB/cell. As for the distance to the lowest polymorph of the same formula: 0.00 kcal/mol of atoms. Its crystal system is monoclinic.

11.
Density functional theory data (PBE) for an optimized crystal structure of Y2Tm3Pt4.

Cell: 7.5154 7.5936 7.6328 Å, 90.00 90.00 109.95°
Closest atoms and distances in Å follow each position.
Element x y z (fractional)
Y 0.5712 0.1922 0.3217  5 Pt 2.95-3.22
Y 0.9288 0.8078 0.8217  5 Pt 2.95-3.22
Y 0.4288 0.8078 0.6783  5 Pt 2.95-3.22
Y 0.0712 0.1922 0.1783  5 Pt 2.95-3.22
Tm 0.0000 0.5000 0.5000  6 Pt 2.95-2.97
Tm 0.5000 0.5000 0.0000  6 Pt 2.95-2.97
Tm 0.7461 0.2443 0.8342  6 Pt 2.80-2.97
Tm 0.7539 0.7557 0.3342  6 Pt 2.80-2.97
Tm 0.2539 0.7557 0.1658  6 Pt 2.80-2.97
Tm 0.2461 0.2443 0.6658  6 Pt 2.80-2.97
Pt 0.8509 0.0860 0.5369  4 Tm 2.80-2.97, 1 Y 2.99, 1 Pt 3.01
Pt 0.6491 0.9140 0.0369  4 Tm 2.80-2.97, 1 Y 2.99, 1 Pt 3.01
Pt 0.1491 0.9140 0.4631  4 Tm 2.80-2.97, 1 Y 2.99, 1 Pt 3.01
Pt 0.3509 0.0860 0.9631  4 Tm 2.80-2.97, 1 Y 2.99, 1 Pt 3.01
Pt 0.8675 0.4912 0.1357  1 Pt 2.85, 5 Tm 2.87-2.97, 2 Y 2.95-3.16
Pt 0.6325 0.5088 0.6357  1 Pt 2.85, 5 Tm 2.87-2.97, 2 Y 2.95-3.16
Pt 0.1325 0.5088 0.8643  1 Pt 2.85, 5 Tm 2.87-2.97, 2 Y 2.95-3.16
Pt 0.3675 0.4912 0.3643  1 Pt 2.85, 5 Tm 2.87-2.97, 2 Y 2.95-3.16

Its formation energy is -1.218 eV/atom. The magnetization is 0.00 μB/cell. As for the distance to the lowest polymorph of the same formula: 0.00 kcal/mol of atoms. Its crystal system is monoclinic.

12.
Density functional theory data (PBE) for an optimized crystal structure of CdCu4I7.

Cell: 8.3722 10.6875 10.6875 Å, 119.45 90.00 90.00°
Closest atoms and distances in Å follow each position.
Element x y z (fractional)
Cd 0.7500 0.7549 0.7549  5 I 2.90-3.02
Cd 0.2500 0.2451 0.2451  5 I 2.90-3.02
Cu 0.5000 0.6946 0.3054  4 I 2.59-2.62
Cu 0.0000 0.3054 0.6946  4 I 2.59-2.62
Cu 0.0000 0.6946 0.3054  4 I 2.59-2.62
Cu 0.2500 0.7227 0.9612  4 I 2.60-2.63
Cu 0.2500 0.9612 0.7227  4 I 2.60-2.63
Cu 0.5000 0.3054 0.6946  4 I 2.59-2.62
Cu 0.7500 0.0388 0.2773  4 I 2.60-2.63
Cu 0.7500 0.2773 0.0388  4 I 2.60-2.63
I 0.2500 0.9759 0.9759  2 Cu 2.63, 1 Cd 2.90
I 0.0033 0.4138 0.1840  2 Cu 2.61-2.62
I 0.7500 0.0241 0.0241  2 Cu 2.63, 1 Cd 2.90
I 0.9967 0.5862 0.8160  2 Cu 2.61-2.62
I 0.5033 0.8160 0.5862  2 Cu 2.61-2.62
I 0.2500 0.2282 0.7823  3 Cu 2.59-2.60
I 0.4967 0.4138 0.1840  2 Cu 2.61-2.62
I 0.0033 0.1840 0.4138  2 Cu 2.61-2.62
I 0.7500 0.2177 0.7718  3 Cu 2.59-2.60
I 0.9967 0.8160 0.5862  2 Cu 2.61-2.62
I 0.2500 0.7823 0.2282  3 Cu 2.59-2.60
I 0.4967 0.1840 0.4138  2 Cu 2.61-2.62
I 0.7500 0.7718 0.2177  3 Cu 2.59-2.60
I 0.5033 0.5862 0.8160  2 Cu 2.61-2.62

The magnetization is 0.00 μB/cell. Its electronic total energy is -2.573 eV per atom. Its crystal system is orthorhombic.